Na2Cu2MoO6: optimized geometry, PBE+U.

Unit cell a=5.231 b=5.231 c=5.569 alpha=90.00 beta=90.00 gamma=120.00
Fractional positions:
Na: 0.333 0.667 0.000
Na: 0.667 0.333 0.000
Cu: 0.333 0.667 0.500
Cu: 0.667 0.333 0.500
Mo: 0.000 0.000 0.500
O: 0.000 0.312 0.302
O: 0.000 0.688 0.698
O: 0.312 0.000 0.302
O: 0.312 0.312 0.698
O: 0.688 0.000 0.698
O: 0.688 0.688 0.302

- E: -5.47 eV/atom